First-principles (GGA-PBE) data for a relaxed Y4BeNi crystal, as listed in Alexandria via LeMat-Bulk.

```
6
Lattice="0.000 4.293 4.293 4.293 0.000 4.293 4.293 4.293 0.000" Properties=species:S:1:pos:R:3 pbc="T T T"
Y 3.218 5.368 5.368
Y 5.368 5.368 3.218
Y 5.368 3.218 5.368
Y 3.218 3.218 3.218
Be 6.440 6.440 6.440
Ni 0.000 0.000 0.000
```

Values from the calculation:
Its space-group type is F-43m (216). As for the formation energy: 0.95 eV/atom. Its magnetization is 0.00 μB/f.u.